# 1
Material: ScPa3C
Method: DFT, GGA-PBE
State: optimized geometry

Cell: 4.8243 4.8243 4.8243 Å, 90.00 90.00 90.00°
Space group Pm-3m (No. 221)
Symmetry-distinct sites (fractional):
1 Sc 0.0000 0.0000 0.0000 [1 per cell]
2 Pa 0.0000 0.5000 0.5000 [3 per cell]
3 C 0.5000 0.5000 0.5000 [1 per cell]

total energy = -8.90 eV/atom

---

# 2
Material: ScPaC2
Method: DFT, GGA-PBE
State: optimized geometry

Cell: 3.5026 3.5026 17.1389 Å, 90.00 90.00 120.00°
Space group R3m (No. 160, hexagonal axes)
Symmetry-distinct sites (fractional):
1 Sc 0.0000 0.0000 0.0000 [3 per cell]
2 Pa 0.0000 0.0000 0.8297 [3 per cell]
3 C 0.0000 0.0000 0.2440 [3 per cell]
4 C 0.0000 0.0000 0.4163 [3 per cell]

total energy = -8.79 eV/atom
polymorph energy (0 for the lowest one) = 0.224 eV/atom

---

# 3
Material: ScPa4C5
Method: DFT, GGA-PBE
State: optimized geometry

Cell: 3.5777 5.0038 17.7963 Å, 90.00 90.00 90.00°
Space group Immm (No. 71)
Symmetry-distinct sites (fractional):
1 Sc 0.0000 0.0000 0.0000 [2 per cell]
2 Pa 0.0000 0.0000 0.1975 [4 per cell]
3 Pa 0.0000 0.0000 0.4031 [4 per cell]
4 C 0.0000 0.5000 0.0000 [2 per cell]
5 C 0.0000 0.5000 0.1990 [4 per cell]
6 C 0.0000 0.5000 0.4004 [4 per cell]

total energy = -9.48 eV/atom

---

Question: Which value of total energy does entry 3 give?
Answer: -9.48 eV/atom

---

Question: Among the records above, which one has the highest total energy?
Answer: ScPaC2

---

Question: Look up the total energy of the second one.
Answer: -8.79 eV/atom

---

Question: total energy of number 2 (ScPaC2)?
Answer: -8.79 eV/atom